The following is a PBE calculation of a geometry-optimized Er2ZnIr structure, from Alexandria via LeMat-Bulk.

Structure (POSCAR):
```
Er2ZnIr
1.0
-0.653 1.007 -4.731
-3.909 -1.741 -2.349
-3.568 3.031 -1.380
Zn Ir Er
1 1 2
Direct
0.000 0.000 0.000
0.500 0.500 0.500
0.250 0.250 0.250
0.750 0.750 0.750
```

Properties
Distance to the lowest polymorph of the same formula in meV per atom: 13
Total moment in μB per formula unit: 0.00
Volume in Å³ per atom: 20.56
Crystal system: cubic